NpVRuO6 | GGA+U | relaxed

Lattice parameters (Å, degrees): 5.2744 5.2744 8.7464 90.00 90.00 120.00
With the nearest neighbours (Å) after each atom.
Sites, in units of the cell vectors:
O 0.3342 0.3226 0.8728  1 V 2.03, 1 Ru 2.06, 1 Np 2.11
O 0.6659 0.9885 0.3728  1 V 2.03, 1 Ru 2.06, 1 Np 2.11
O 0.6774 0.0115 0.8728  1 V 2.03, 1 Ru 2.06, 1 Np 2.11
O 0.6774 0.6659 0.6272  1 V 2.03, 1 Ru 2.06, 1 Np 2.11
O 0.3342 0.0115 0.6272  1 V 2.03, 1 Ru 2.06, 1 Np 2.11
O 0.3226 0.3341 0.3728  1 V 2.03, 1 Ru 2.06, 1 Np 2.11
O 0.6659 0.6774 0.1272  1 V 2.03, 1 Ru 2.06, 1 Np 2.11
O 0.0115 0.6774 0.3728  1 V 2.03, 1 Ru 2.06, 1 Np 2.11
O 0.9885 0.6659 0.8728  1 V 2.03, 1 Ru 2.06, 1 Np 2.11
O 0.3226 0.9885 0.1272  1 V 2.03, 1 Ru 2.06, 1 Np 2.11
O 0.9885 0.3226 0.6272  1 V 2.03, 1 Ru 2.06, 1 Np 2.11
O 0.0115 0.3341 0.1272  1 V 2.03, 1 Ru 2.06, 1 Np 2.11
V 0.6667 0.3333 0.7500  6 O 2.03
V 0.3333 0.6667 0.2500  6 O 2.03
Ru 0.0000 0.0000 0.5000  6 O 2.06
Ru 0.0000 0.0000 0.0000  6 O 2.06
Np 0.3333 0.6667 0.7500  6 O 2.11
Np 0.6667 0.3333 0.2500  6 O 2.11

Results
As for the space-group type: P-31c. As for the raw total energy: -0.313 Ha/atom. The value obtained for the mass density is 7.6 g/cm3.